Entry from Alexandria via LeMat-Bulk: a relaxed structure of HfNiRhAu (PBE-GGA).

For the formation energy, the calculation gives -0.63 eV/atom.

It has space group Pmmm (No. 47), with a = 3.7579 Å, b = 3.9411 Å, c = 4.1877 Å, α = 90.00°, β = 90.00° and γ = 90.00°. The distinct sites, in fractional coordinates, are Hf at (0.0000, 0.0000, 0.0000), Ni at (0.5000, 0.0000, 0.5000), Rh at (0.5000, 0.5000, 0.0000) and Au at (0.0000, 0.5000, 0.5000).